First-principles (PBE) data for an optimized crystal structure of GaBi2Sb2, as listed in Alexandria.

Cell: 8.437 8.437 4.275 Å, 90.00 90.00 90.00°
Space group P4/mbm (No. 127)
Inequivalent atoms, fractional coordinates:
Ga1 0.000 0.000 0.000
Bi1 0.156 0.344 0.000
Sb1 0.151 0.651 0.500

Values from the calculation:
For the total energy, the calculation gives -3.606 eV/atom. The calculation puts the magnetic moment at 0.00 μB/f.u. Its volume is 30.43 Å³/atom. As for the crystal system: tetragonal. The value obtained for the energy relative to the lowest polymorph listed for this composition is 34 meV/atom.